A plane-wave DFT calculation with GGA-PBE was carried out for crystalline K3Pr2HfS6 at its relaxed geometry.

Cell lengths 7.031, 12.180, 7.772 Å; angles 90.00, 107.70, 90.00 degrees
Space group C2/m (No. 12)
Asymmetric unit:
K 0.000 0.000 0.000 [2 per cell]
K 0.000 0.329 0.000 [4 per cell]
Pr 0.000 0.166 0.500 [4 per cell]
Hf 0.000 0.500 0.500 [2 per cell]
S 0.221 0.348 0.705 [8 per cell]
S 0.236 0.500 0.295 [4 per cell]

Output
As for the size of the total moment: 0.00 μB/cell. Its energy relative to the elements, uncorrected is -20.3 eV per formula unit.